Material: NdSmCuSn
Method: DFT, PBE
State: relaxed

Calculated values
Space group: F-43m, No. 216
E_tot in eV per atom: -4.817

Lattice parameters (Å, degrees): 5.2905 5.2905 5.2905 60.00 60.00 60.00
Sites, in units of the cell vectors:
Nd1 0.0000 0.0000 0.0000
Cu1 0.7500 0.7500 0.7500
Sm1 0.5000 0.5000 0.5000
Sn1 0.2500 0.2500 0.2500

Material: Tb2Pr2Y2Er
Method: DFT, PBE
State: relaxed

Calculated values
Space group: C2/m, No. 12
E_tot in eV per atom: -5.103

Lattice parameters (Å, degrees): 3.5345 6.1713 11.8931 72.05 90.00 106.64
Sites, in units of the cell vectors:
Pr1 0.6727 0.3454 0.9134
Pr2 0.3273 0.6546 0.0866
Y1 0.4517 0.9034 0.7691
Y2 0.5483 0.0966 0.2309
Er1 0.0000 0.0000 0.5000
Tb1 0.2287 0.4575 0.6340
Tb2 0.7713 0.5425 0.3660

Material: Ta2BeAu
Method: DFT, PBE
State: relaxed

Calculated values
Space group: F-43m, No. 216
E_tot in eV per atom: -7.219

Lattice parameters (Å, degrees): 4.5354 4.5354 4.5354 60.00 60.00 60.00
Site moments in Bohr magnetons follow the coordinates.
Sites, in units of the cell vectors:
Au1 0.5000 0.5000 0.5000  0.02
Ta1 0.0000 0.0000 0.0000  0.19
Ta2 0.7500 0.7500 0.7500  0.12
Be1 0.2500 0.2500 0.2500  0.00

Material: Pm2Er2Te5
Method: DFT, PBE
State: relaxed

Calculated values
ΔE to the lowest computed polymorph in meV per atom: 84
Space group: Ima2, No. 46
E_tot in eV per atom: -5.019
Raw formation energy in eV/atom: -1.204

Lattice parameters (Å, degrees): 8.7736 7.5868 11.0841 110.01 113.31 90.00
Sites, in units of the cell vectors:
Te1 0.1839 0.6915 0.5000
Te2 0.2598 0.0513 0.2981
Te3 0.2520 0.7298 0.9254
Te4 0.1734 0.2298 0.9254
Te5 0.5383 0.5513 0.2981
Te6 0.7402 0.7532 0.7019
Te7 0.8161 0.1915 0.5000
Te8 0.7480 0.8044 0.0746
Te9 0.8266 0.3044 0.0746
Te10 0.4617 0.2532 0.7019
Pm1 0.1611 0.6059 0.1772
Pm2 0.5161 0.1059 0.1772
Pm3 0.8389 0.4287 0.8228
Pm4 0.4839 0.9287 0.8228
Er1 0.5000 0.4678 0.0000
Er2 0.0000 0.9678 0.0000
Er3 0.8577 0.8035 0.5000
Er4 0.1423 0.3035 0.5000

Material: CrBiSe2N
Method: DFT, PBE
State: relaxed

Calculated values
ΔE to the lowest computed polymorph in meV per atom: 0
Space group: P4/mmm, No. 123
E_tot in eV per atom: -5.757
Raw formation energy in eV/atom: 0.003

Lattice parameters (Å, degrees): 5.1617 5.1617 3.6206 90.00 90.00 90.00
Site moments in Bohr magnetons follow the coordinates.
Sites, in units of the cell vectors:
N1 0.0000 0.0000 0.5000  -0.39
Se1 0.0000 0.5000 0.0000  -0.09
Se2 0.5000 0.0000 0.0000  -0.09
Bi1 0.5000 0.5000 0.5000  0.06
Cr1 0.0000 0.0000 0.0000  2.03

Material: KSe
Method: DFT, PBE
State: relaxed

Calculated values
Space group: Pm-3n, No. 223
E_tot in eV per atom: -2.606
Raw formation energy in eV/atom: -0.315

Lattice parameters (Å, degrees): 9.2262 9.2262 9.2262 90.00 90.00 90.00
Site moments in Bohr magnetons follow the coordinates.
Sites, in units of the cell vectors:
K1 0.0000 0.7500 0.5000  0.01
K2 0.2500 0.5000 0.0000  0.01
K3 0.7500 0.5000 0.0000  0.01
K4 0.0000 0.2500 0.5000  0.01
K5 0.5000 0.0000 0.7500  0.01
K6 0.5000 0.0000 0.2500  0.01
Se1 0.7500 0.0000 0.5000  0.54
Se2 0.2500 0.0000 0.5000  0.54
Se3 0.0000 0.5000 0.7500  0.54
Se4 0.5000 0.2500 0.0000  0.54
Se5 0.5000 0.7500 0.0000  0.54
Se6 0.0000 0.5000 0.2500  0.54

Material: SrPb2SeO2
Method: DFT, PBE
State: relaxed

Calculated values
Space group: P2_1/m, No. 11
E_tot in eV per atom: -5.215
Raw formation energy in eV/atom: -1.465

Lattice parameters (Å, degrees): 6.0770 7.1114 7.2315 109.19 90.00 90.00
Sites, in units of the cell vectors:
Pb1 0.2500 0.0757 0.4187
Pb2 0.7500 0.3683 0.3498
Pb3 0.7500 0.9243 0.5813
Pb4 0.2500 0.6317 0.6502
O1 0.5038 0.1268 0.2174
O2 0.0038 0.8732 0.7826
O3 0.4962 0.8732 0.7826
O4 0.9962 0.1268 0.2174
Se1 0.2500 0.6532 0.2390
Se2 0.7500 0.3468 0.7610
Sr1 0.2500 0.1658 0.9601
Sr2 0.7500 0.8342 0.0399

Material: As2AuSe2
Method: DFT, PBE
State: relaxed

Calculated values
ΔE to the lowest computed polymorph in meV per atom: 0
Space group: P4/mbm, No. 127
E_tot in eV per atom: -3.764
Raw formation energy in eV/atom: 0.145

Lattice parameters (Å, degrees): 7.8356 7.8356 3.7328 90.00 90.00 90.00
Sites, in units of the cell vectors:
Se1 0.3592 0.1408 0.5000
Se2 0.8592 0.3592 0.5000
Se3 0.1408 0.6408 0.5000
Se4 0.6408 0.8592 0.5000
Au1 0.5000 0.5000 0.0000
Au2 0.0000 0.0000 0.0000
As1 0.7885 0.7115 0.0000
As2 0.7115 0.2115 0.0000
As3 0.2885 0.7885 0.0000
As4 0.2115 0.2885 0.0000